Density functional theory data (PBE+U) for an optimized crystal structure of TiCr3F.

POSCAR file:
```
TiCr3F
1.0
4.938 0.000 0.000
0.000 4.938 0.000
0.000 0.000 4.938
Ti Cr F
1 3 1
Direct
0.000 0.000 0.000
0.000 0.000 0.500
0.000 0.500 0.000
0.500 0.000 0.000
0.500 0.500 0.500
```

Results
Calculated volume, A^3/atom: 24.07
Polymorph energy (0 for the lowest one), meV/atom: 1050.0
Mass density, g cm⁻³: 3.1
Electronic total energy, Ry/atom: -0.3798